Density functional theory data (GGA-PBE) for an optimized crystal structure of ScAl2Rh3.

Crystal system = trigonal
ΔE_f = -1.09 eV per atom
Energy relative to the lowest polymorph listed for this composition = 0.0000 eV per atom
E_tot = -7.069 eV/atom

```
ScAl2Rh3
1.0
-3.685 0.620 -2.229
1.985 -3.870 -0.111
-5.657 -3.144 8.476
Rh Sc Al
6 2 4
Direct
0.667 0.333 0.076 Rh
0.000 0.000 0.761 Rh
0.333 0.667 0.924 Rh
0.333 0.667 0.415 Rh
0.000 0.000 0.239 Rh
0.667 0.333 0.585 Rh
0.333 0.667 0.670 Sc
0.667 0.333 0.330 Sc
0.000 0.000 0.500 Al
0.333 0.667 0.164 Al
0.667 0.333 0.836 Al
0.000 0.000 0.000 Al
```